A plane-wave DFT calculation with PBE was carried out for crystalline Cs2AgBi at its relaxed geometry.

Its formation energy is -0.258 eV per atom.

a b c (Å): 5.256 11.285 6.929
angles (deg): 90.00 90.00 90.00
Space group Imm2 (No. 44)
Unique sites:
Cs 0.000 0.190 0.000 x4
Ag 0.000 0.500 0.858 x2
Bi 0.000 0.000 0.497 x2

A plane-wave DFT calculation with PBE was carried out for crystalline CsAg2Bi2 at its relaxed geometry.

Its formation energy is -0.105 eV per atom. Its energy above the most stable polymorph in this dataset is 0 meV per atom.

a b c (Å): 6.539 7.352 8.547
angles (deg): 64.69 80.48 67.24
Space group P-1 (No. 2)
Unique sites:
Cs 0.250 0.093 0.314 x2
Ag 0.250 0.507 0.486 x2
Ag 0.250 0.815 0.872 x2
Bi 0.053 0.263 0.810 x2
Bi 0.447 0.428 0.810 x2

A plane-wave DFT calculation with PBE was carried out for crystalline CsAgBi2 at its relaxed geometry.

Its formation energy is 0.274 eV per atom. Its energy above the most stable polymorph in this dataset is 365 meV per atom.

a b c (Å): 8.071 8.071 8.071
angles (deg): 90.00 90.00 90.00
Space group Fm-3m (No. 225)
Unique sites:
Cs 0.000 0.000 0.000 x4
Ag 0.000 0.000 0.500 x4
Bi 0.250 0.250 0.250 x8

A plane-wave DFT calculation with PBE was carried out for crystalline Cs2AgBi3F12 at its relaxed geometry.

For the formation energy without anion corrections, the calculation gives -2.34 eV/atom.

a b c (Å): 8.7132 8.7132 19.3121
angles (deg): 90.00 90.00 120.00
Space group R-3m (No. 166, hexagonal axes)
Unique sites:
Cs 0.0000 0.0000 0.1368 x6
Ag 0.0000 0.0000 0.5000 x3
Bi 0.0000 0.5000 0.0000 x9
F 0.0186 0.5093 0.1153 x18
F 0.0744 0.5372 0.3441 x18

A plane-wave DFT calculation with PBE was carried out for crystalline Cs2AgBiF6 at its relaxed geometry.

For the formation energy without anion corrections, the calculation gives -2.32 eV/atom.

a b c (Å): 6.726 6.726 9.533
angles (deg): 90.00 90.00 90.00
Space group I4/mmm (No. 139)
Unique sites:
Cs 0.000 0.500 0.250 x4
Ag 0.000 0.000 0.000 x2
Bi 0.000 0.000 0.500 x2
F 0.000 0.000 0.261 x4
F 0.240 0.240 0.500 x8

A plane-wave DFT calculation with PBE was carried out for crystalline CsAgBiH2 at its relaxed geometry.

For the total energy, the calculation gives -2.225 eV per atom.

a b c (Å): 4.545 4.545 8.012
angles (deg): 90.00 90.00 90.00
Space group P4/mmm (No. 123)
Unique sites:
Cs 0.000 0.000 0.000 x1
Ag 0.500 0.500 0.000 x1
Bi 0.000 0.000 0.500 x1
H 0.000 0.500 0.500 x2

Computed magnetic moment (μB/f.u.) in order:
0.00; 0.00; 0.00; 0.09; 0.00; 0.77
Computed D(E_F) (states/eV per cell) in order:
0.802; 2.963; 5.520; 0.000; 0.000; 2.464